A relaxed Pr2Ni4Sn3Au crystal, computed with GGA-PBE. Values from VASP.

Output
As for the space-group type: P-4m2, No. 115. The value obtained for the formation enthalpy at 0 K is -0.488 eV/atom. The density of states at the Fermi level comes out at 5.66 states/eV per cell.

Quantum ESPRESSO input file:
```
&SYSTEM
  ibrav = 0, nat = 10, ntyp = 4
/
ATOMIC_SPECIES
Pr 140.91 Pr.upf
Ni 58.69 Ni.upf
Sn 118.71 Sn.upf
Au 196.97 Au.upf
ATOMIC_POSITIONS angstrom
Pr -1.518 -2.424 1.726
Pr -0.368 -2.111 7.581
Ni 1.244 -2.903 -0.090
Ni 0.000 0.000 0.000
Ni -2.712 -3.046 5.309
Ni 0.825 -1.489 3.998
Sn -1.566 -0.816 4.698
Sn -3.488 -3.450 7.637
Sn 1.601 -1.084 1.670
Au -0.321 -3.719 4.609
CELL_PARAMETERS angstrom
-1.487 -4.040 -1.197
3.976 -1.766 1.018
-3.131 -1.632 9.396
```

A relaxed CsK2Li crystal, computed with GGA-PBE. Values from VASP.

Output
As for the energy above the most stable polymorph in this dataset: 31 meV/atom. As for the space-group type: P4/mmm, No. 123. The value obtained for the formation enthalpy at 0 K is 0.138 eV/atom. The density of states at the Fermi level comes out at 3.41 states/eV per cell.

Quantum ESPRESSO input file:
```
&SYSTEM
  ibrav = 0, nat = 4, ntyp = 3
/
ATOMIC_SPECIES
Cs 132.91 Cs.upf
K 39.10 K.upf
Li 6.94 Li.upf
ATOMIC_POSITIONS angstrom
Cs 3.406 3.135 3.135
K 0.000 0.000 3.135
K 0.000 3.135 0.000
Li 3.406 0.000 0.000
CELL_PARAMETERS angstrom
6.811 0.000 0.000
0.000 6.269 0.000
0.000 0.000 6.269
```

A relaxed ZnMoSe2 crystal, computed with GGA-PBE. Values from VASP.

Output
As for the space-group type: Pm, No. 6. For the formation energy from raw total energies, the calculation gives 0.032 eV per atom. The density of states at the Fermi level comes out at 1.70 states/eV per cell.

Quantum ESPRESSO input file:
```
&SYSTEM
  ibrav = 0, nat = 4, ntyp = 3
/
ATOMIC_SPECIES
Mo 95.94 Mo.upf
Se 78.96 Se.upf
Zn 65.41 Zn.upf
ATOMIC_POSITIONS angstrom
Mo 2.446 3.215 3.668
Se 0.000 4.111 4.381
Se 2.446 1.559 1.748
Zn 0.000 2.605 2.362
CELL_PARAMETERS angstrom
4.892 0.000 0.000
0.000 3.600 0.387
0.000 0.996 4.477
```

A relaxed NbV2Ge2 crystal, computed with GGA-PBE. Values from VASP.

Output
As for the energy above the most stable polymorph in this dataset: 0 meV/atom. As for the space-group type: P4/mbm, No. 127. The value obtained for the formation enthalpy at 0 K is -0.277 eV/atom. The density of states at the Fermi level comes out at 8.56 states/eV per cell.

Quantum ESPRESSO input file:
```
&SYSTEM
  ibrav = 0, nat = 10, ntyp = 3
/
ATOMIC_SPECIES
Nb 92.91 Nb.upf
Ge 72.64 Ge.upf
V 50.94 V.upf
ATOMIC_POSITIONS angstrom
Nb 0.000 0.000 0.000
Nb 3.404 3.404 0.000
Ge 2.483 5.887 0.000
Ge 5.887 4.325 0.000
Ge 4.325 0.921 0.000
Ge 0.921 2.483 0.000
V 1.105 4.509 1.634
V 4.509 5.702 1.634
V 5.702 2.298 1.634
V 2.298 1.105 1.634
CELL_PARAMETERS angstrom
6.807 0.000 0.000
0.000 6.807 0.000
0.000 0.000 3.267
```

A relaxed LiInCu3 crystal, computed with GGA-PBE. Values from VASP.

Output
As for the energy above the most stable polymorph in this dataset: 0 meV/atom. As for the space-group type: C2/c, No. 15. The value obtained for the formation enthalpy at 0 K is -0.011 eV/atom. The density of states at the Fermi level comes out at 2.17 states/eV per cell.

Quantum ESPRESSO input file:
```
&SYSTEM
  ibrav = 0, nat = 10, ntyp = 3
/
ATOMIC_SPECIES
Li 6.94 Li.upf
In 114.82 In.upf
Cu 63.55 Cu.upf
ATOMIC_POSITIONS angstrom
Li 2.670 0.888 0.714
Li -0.531 2.365 3.210
In -1.297 3.497 0.714
In 3.436 -0.244 3.210
Cu 0.353 1.235 -0.213
Cu 1.433 2.878 1.640
Cu 1.787 2.018 4.136
Cu 4.819 -0.526 0.714
Cu 0.706 0.375 2.284
Cu -2.680 3.779 3.210
CELL_PARAMETERS angstrom
6.428 -1.270 -0.535
-3.712 5.399 -0.535
-0.576 -0.876 4.993
```

A relaxed HPtSe2Br crystal, computed with GGA-PBE. Values from VASP.

Output
As for the energy above the most stable polymorph in this dataset: 116 meV/atom. As for the space-group type: P4/mmm, No. 123. The density of states at the Fermi level comes out at 4.18 states/eV per cell.

Quantum ESPRESSO input file:
```
&SYSTEM
  ibrav = 0, nat = 5, ntyp = 4
/
ATOMIC_SPECIES
H 1.01 H.upf
Se 78.96 Se.upf
Br 79.90 Br.upf
Pt 195.08 Pt.upf
ATOMIC_POSITIONS angstrom
H -3.396 -0.426 -2.809
Se 0.219 -0.827 -2.325
Se -1.380 1.894 -0.804
Br -2.235 -1.493 0.320
Pt 0.000 0.000 0.000
CELL_PARAMETERS angstrom
-2.760 3.788 -1.607
0.439 -1.654 -4.650
-4.470 -2.986 0.640
```

A relaxed MnGeSN2 crystal, computed with GGA-PBE. Values from VASP.

Output
As for the energy above the most stable polymorph in this dataset: 391 meV/atom. As for the space-group type: P4/mmm, No. 123. For the formation energy from raw total energies, the calculation gives 0.939 eV per atom. The density of states at the Fermi level comes out at 2.92 states/eV per cell.

Quantum ESPRESSO input file:
```
&SYSTEM
  ibrav = 0, nat = 5, ntyp = 4
/
ATOMIC_SPECIES
Ge 72.64 Ge.upf
Mn 54.94 Mn.upf
S 32.06 S.upf
N 14.01 N.upf
ATOMIC_POSITIONS angstrom
Ge 0.000 0.000 0.000
Mn -1.574 -0.089 3.566
S 0.442 -1.329 2.583
N -1.775 -0.340 0.129
N -0.241 1.580 0.854
CELL_PARAMETERS angstrom
-0.482 3.160 1.708
-3.550 -0.681 0.257
0.884 -2.658 5.165
```

A relaxed HgW crystal, computed with GGA-PBE. Values from VASP.

Output
As for the energy above the most stable polymorph in this dataset: 224 meV/atom. As for the space-group type: Cm, No. 8. The value obtained for the formation enthalpy at 0 K is 0.728 eV/atom. The density of states at the Fermi level comes out at 4.04 states/eV per cell.

Quantum ESPRESSO input file:
```
&SYSTEM
  ibrav = 0, nat = 6, ntyp = 2
/
ATOMIC_SPECIES
Hg 200.59 Hg.upf
W 183.84 W.upf
ATOMIC_POSITIONS angstrom
Hg 0.000 14.477 6.958
Hg 0.000 5.414 2.391
Hg 0.000 8.323 0.572
W 0.000 10.010 4.782
W 0.000 2.338 3.187
W 0.000 6.595 5.107
CELL_PARAMETERS angstrom
1.387 5.831 0.032
-1.387 5.831 0.032
0.000 3.229 7.198
```

A relaxed PmHo6In6 crystal, computed with GGA-PBE. Values from VASP.

Output
As for the space-group type: P6/mmm, No. 191. The value obtained for the formation enthalpy at 0 K is -0.327 eV/atom. The density of states at the Fermi level comes out at 15.17 states/eV per cell.

Quantum ESPRESSO input file:
```
&SYSTEM
  ibrav = 0, nat = 13, ntyp = 3
/
ATOMIC_SPECIES
Pm 145.00 Pm.upf
Ho 164.93 Ho.upf
In 114.82 In.upf
ATOMIC_POSITIONS angstrom
Pm 0.000 0.000 0.000
Ho 0.824 5.223 4.723
Ho 0.425 2.691 2.434
Ho -2.521 -1.496 2.094
Ho -3.460 0.917 -0.410
Ho -1.897 2.461 5.672
Ho -2.836 4.874 3.168
In 0.151 4.016 7.699
In -1.257 7.636 3.942
In -2.049 5.681 6.241
In -1.893 3.608 0.300
In -0.485 -0.011 4.057
In -2.684 1.654 2.599
CELL_PARAMETERS angstrom
-4.399 3.330 -2.915
-1.582 -3.909 4.599
1.248 7.914 7.156
```

A relaxed SnHg2Bi crystal, computed with GGA-PBE. Values from VASP.

Output
As for the space-group type: R3m, No. 160. The value obtained for the formation enthalpy at 0 K is 0.110 eV/atom. The density of states at the Fermi level comes out at 1.54 states/eV per cell.

Quantum ESPRESSO input file:
```
&SYSTEM
  ibrav = 0, nat = 4, ntyp = 3
/
ATOMIC_SPECIES
Sn 118.71 Sn.upf
Hg 200.59 Hg.upf
Bi 208.98 Bi.upf
ATOMIC_POSITIONS angstrom
Sn 7.066 4.080 6.186
Hg 2.355 1.360 4.831
Hg 2.355 1.360 1.486
Bi 4.711 2.720 3.099
CELL_PARAMETERS angstrom
4.711 0.000 0.000
2.355 4.080 0.000
2.355 1.360 6.241
```

A relaxed CrReB crystal, computed with GGA-PBE. Values from VASP.

Output
As for the energy above the most stable polymorph in this dataset: 242 meV/atom. As for the space-group type: Amm2, No. 38. The value obtained for the formation enthalpy at 0 K is -0.087 eV/atom. The density of states at the Fermi level comes out at 1.24 states/eV per cell.

Quantum ESPRESSO input file:
```
&SYSTEM
  ibrav = 0, nat = 6, ntyp = 3
/
ATOMIC_SPECIES
Re 186.21 Re.upf
B 10.81 B.upf
Cr 52.00 Cr.upf
ATOMIC_POSITIONS angstrom
Re 0.000 0.000 0.102
Re 0.000 1.472 4.045
B 1.460 0.000 4.815
B 1.460 1.472 0.872
Cr 1.460 0.000 2.451
Cr 1.460 1.472 6.394
CELL_PARAMETERS angstrom
2.919 0.000 0.000
0.000 2.944 0.000
0.000 0.000 7.886
```

A relaxed TlAs2AuSe crystal, computed with GGA-PBE. Values from VASP.

Output
As for the energy above the most stable polymorph in this dataset: 0 meV/atom. As for the space-group type: P4/mmm, No. 123. For the formation energy from raw total energies, the calculation gives 0.521 eV per atom. The density of states at the Fermi level comes out at 4.32 states/eV per cell.

Quantum ESPRESSO input file:
```
&SYSTEM
  ibrav = 0, nat = 5, ntyp = 4
/
ATOMIC_SPECIES
Tl 204.38 Tl.upf
Au 196.97 Au.upf
As 74.92 As.upf
Se 78.96 Se.upf
ATOMIC_POSITIONS angstrom
Tl 2.544 2.544 2.700
Au 0.000 0.000 0.000
As 0.000 2.544 0.000
As 2.544 0.000 0.000
Se 0.000 0.000 2.700
CELL_PARAMETERS angstrom
5.087 0.000 0.000
0.000 5.087 0.000
0.000 0.000 5.400
```

Q: Which formula does entry 3 have?
A: ZnMoSe2

Q: What is the formula in the third record?
A: ZnMoSe2